Record 1
# ZrTaBi2 | Alexandria | PBE | relaxed
data_ZrTaBi2
_chemical_formula_sum 'Zr3 Ta3 Bi6'
_space_group_name_H-M_alt 'R -3 m'
_space_group_IT_number 166
_space_group_name_Hall '-R 3 2"'
_cell_length_a 3.2718
_cell_length_b 3.2718
_cell_length_c 32.5975
_cell_angle_alpha 90.00
_cell_angle_beta 90.00
_cell_angle_gamma 120.00
loop_
_atom_site_label
_atom_site_type_symbol
_atom_site_fract_x
_atom_site_fract_y
_atom_site_fract_z
_atom_site_occupancy
Zr1 Zr 0.0000 0.0000 0.0000 1
Ta1 Ta 0.0000 0.0000 0.5000 1
Bi1 Bi 0.0000 0.0000 0.4099 1
# Polymorph energy (0 for the lowest one) ... 312 meV per atom
# DOS(E_F) ... 1.130 states/eV/atom
# Total DFT energy (no corrections) ... -78.75 eV for the cell shown
# Calculated formation energy ... 0.48 eV per atom

***

Record 2
# HoZn4Pd | Alexandria | PBE | relaxed
data_HoZn4Pd
_chemical_formula_sum 'Ho4 Zn16 Pd4'
_space_group_name_H-M_alt 'F -4 3 m'
_space_group_IT_number 216
_space_group_name_Hall 'F -4 2 3'
_cell_length_a 7.349
_cell_length_b 7.349
_cell_length_c 7.349
_cell_angle_alpha 90.00
_cell_angle_beta 90.00
_cell_angle_gamma 90.00
loop_
_atom_site_label
_atom_site_type_symbol
_atom_site_fract_x
_atom_site_fract_y
_atom_site_fract_z
_atom_site_occupancy
Ho1 Ho 0.000 0.000 0.000 1
Zn1 Zn 0.124 0.124 0.624 1
Pd1 Pd 0.250 0.250 0.250 1
# Polymorph energy (0 for the lowest one) ... 8 meV per atom
# DOS(E_F) ... 0.670 states/eV/atom
# Total DFT energy (no corrections) ... -68.72 eV for the cell shown
# Calculated formation energy ... -0.39 eV per atom